Material: NdCu2Hg
Method: DFT, PBE-GGA
State: optimized geometry

## Properties
Relative energy among the computed polymorphs = 0.264 eV/f.u.
DFT formation energy = -0.7 eV/f.u.
Total moment = 0.000 μB per formula unit

```
data_NdCu2Hg
_chemical_formula_sum 'Nd1 Cu2 Hg1'
_cell_length_a 5.080
_cell_length_b 5.080
_cell_length_c 5.080
_cell_angle_alpha 54.10
_cell_angle_beta 54.10
_cell_angle_gamma 54.10
_symmetry_space_group_name_H-M 'P 1'
_symmetry_Int_Tables_number 1
_symmetry_space_group_name_Hall 'P 1'
loop_
_atom_site_label
_atom_site_type_symbol
_atom_site_fract_x
_atom_site_fract_y
_atom_site_fract_z
_atom_site_occupancy
Nd1 Nd 0.000 0.000 0.000 1
Cu1 Cu 0.224 0.224 0.224 1
Cu2 Cu 0.776 0.776 0.776 1
Hg1 Hg 0.500 0.500 0.500 1
```